Record 1
Rb3SbTe3 | PBE | relaxed

Properties
As for the symmetry: C2/m. The value obtained for the energy above the most stable polymorph in this dataset is 16.0 meV per atom.

a b c (Å): 8.951 8.951 9.335
angles (deg): 90.40 90.40 112.05
Atoms (fractional coordinates):
Rb 0.172 0.828 0.000
Rb 0.217 0.783 0.500
Rb 0.370 0.370 0.143
Rb 0.630 0.630 0.857
Rb 0.783 0.217 0.500
Rb 0.828 0.172 0.000
Sb 0.227 0.227 0.642
Sb 0.773 0.773 0.358
Te 0.044 0.044 0.280
Te 0.177 0.478 0.794
Te 0.478 0.177 0.794
Te 0.522 0.823 0.206
Te 0.823 0.522 0.206
Te 0.956 0.956 0.720


Record 2
RbSb5Te7 | PBE | relaxed

Properties
As for the symmetry: P2_1/m.

a b c (Å): 4.537 26.693 7.862
angles (deg): 90.00 106.11 90.00
Atoms (fractional coordinates):
Rb 0.217 0.250 0.412
Rb 0.783 0.750 0.588
Sb 0.000 0.000 0.000
Sb 0.000 0.500 0.000
Sb 0.254 0.572 0.525
Sb 0.254 0.928 0.525
Sb 0.475 0.145 0.926
Sb 0.475 0.355 0.926
Sb 0.525 0.645 0.074
Sb 0.525 0.855 0.074
Sb 0.746 0.072 0.475
Sb 0.746 0.428 0.475
Te 0.101 0.103 0.196
Te 0.101 0.397 0.196
Te 0.156 0.666 0.332
Te 0.156 0.834 0.332
Te 0.371 0.036 0.736
Te 0.371 0.464 0.736
Te 0.462 0.750 0.952
Te 0.538 0.250 0.048
Te 0.629 0.536 0.264
Te 0.629 0.964 0.264
Te 0.844 0.166 0.668
Te 0.844 0.334 0.668
Te 0.899 0.603 0.804
Te 0.899 0.897 0.804


Record 3
Rb4SbTe4 | PBE | relaxed

Properties
As for the symmetry: I-42m. The value obtained for the energy above the most stable polymorph in this dataset is 0.0 meV per atom.

a b c (Å): 9.556 9.556 9.556
angles (deg): 126.38 126.38 79.26
Atoms (fractional coordinates):
Rb 0.000 0.500 0.500
Rb 0.199 0.199 0.000
Rb 0.500 0.000 0.500
Rb 0.801 0.801 0.000
Sb 0.500 0.500 0.000
Te 0.192 0.192 0.618
Te 0.425 0.808 0.000
Te 0.575 0.575 0.382
Te 0.808 0.425 0.000


The records above yield volume values of 49.5; 35.2; 60.8 Å³ per atom, respectively.
The records above yield uncorrected formation energy values of -0.750; -0.182; -0.680 eV/atom, respectively.
The records above yield total DFT energy (no corrections) values of -3.100; -3.533; -2.964 eV per atom, respectively.